VASP calculation (GGA-PBEsol) on an optimized crystal structure of ThAg3.

```
8
Lattice="6.4589 0.0000 0.0000 -3.2295 5.5936 0.0000 0.0000 0.0000 4.7217" Properties=species:S:1:pos:R:3 pbc="T T T"
Th 0.0000 3.7291 1.1804
Th 3.2295 1.8645 3.5413
Ag 0.0000 1.6592 3.5413
Ag -1.7926 4.7640 3.5413
Ag 1.4369 0.8296 1.1804
Ag 1.7926 4.7640 3.5413
Ag 5.0220 0.8296 1.1804
Ag 3.2295 3.9344 1.1804
```

- energy relative to the elements (eV/atom) = -0.0485
- electronic total energy (Ry per atom) = -0.335
- magnetic moment (μB/cell) = 0.0